# RbY, relaxed, DFT PBE
data_RbY
_chemical_formula_sum 'Rb6 Y6'
_cell_length_a 3.779
_cell_length_b 10.920
_cell_length_c 16.303
_cell_angle_alpha 90.00
_cell_angle_beta 90.00
_cell_angle_gamma 90.00
_space_group_name_H-M_alt 'P 1'
_space_group_IT_number 1
loop_
_space_group_symop_operation_xyz
'x,y,z'
loop_
_atom_site_label
_atom_site_type_symbol
_atom_site_fract_x
_atom_site_fract_y
_atom_site_fract_z
_atom_site_occupancy
Y1 Y 0.000 0.532 0.833 1
Y2 Y 0.000 0.532 0.500 1
Y3 Y 0.500 0.468 0.667 1
Y4 Y 0.000 0.532 0.167 1
Y5 Y 0.500 0.468 0.333 1
Y6 Y 0.500 0.468 0.000 1
Rb1 Rb 0.000 0.821 0.667 1
Rb2 Rb 0.500 0.179 0.500 1
Rb3 Rb 0.000 0.821 0.333 1
Rb4 Rb 0.500 0.179 0.167 1
Rb5 Rb 0.000 0.821 0.000 1
Rb6 Rb 0.500 0.179 0.833 1
# - SG = Pmmn (59)
# - V (Å³/atom) = 56.06
# - energy of formation (eV per formula unit) = 0.985
# - energy (eV/cell) = -38.7

=====

# Dy6TlCo, relaxed, DFT PBE
data_Dy6TlCo
_chemical_formula_sum 'Dy6 Tl1 Co1'
_cell_length_a 6.830
_cell_length_b 6.880
_cell_length_c 7.290
_cell_angle_alpha 62.42
_cell_angle_beta 62.68
_cell_angle_gamma 60.25
_space_group_name_H-M_alt 'P 1'
_space_group_IT_number 1
loop_
_space_group_symop_operation_xyz
'x,y,z'
loop_
_atom_site_label
_atom_site_type_symbol
_atom_site_fract_x
_atom_site_fract_y
_atom_site_fract_z
_atom_site_occupancy
Dy1 Dy 0.590 0.202 0.238 1
Dy2 Dy 0.206 0.972 0.239 1
Dy3 Dy 0.970 0.589 0.237 1
Dy4 Dy 0.030 0.411 0.763 1
Dy5 Dy 0.410 0.798 0.762 1
Dy6 Dy 0.794 0.028 0.761 1
Co1 Co 0.000 0.000 0.000 1
Tl1 Tl 0.500 0.500 0.500 1
# - SG = P-1 (2)
# - V (Å³/atom) = 31.46
# - energy of formation (eV per formula unit) = 0.335
# - energy (eV/cell) = -36.7

=====

# AsOsBr2, relaxed, DFT PBE
data_AsOsBr2
_chemical_formula_sum 'As1 Os1 Br2'
_cell_length_a 12.780
_cell_length_b 12.780
_cell_length_c 12.780
_cell_angle_alpha 13.29
_cell_angle_beta 13.29
_cell_angle_gamma 13.29
_space_group_name_H-M_alt 'P 1'
_space_group_IT_number 1
loop_
_space_group_symop_operation_xyz
'x,y,z'
loop_
_atom_site_label
_atom_site_type_symbol
_atom_site_fract_x
_atom_site_fract_y
_atom_site_fract_z
_atom_site_occupancy
Os1 Os 0.000 0.000 0.000 1
As1 As 0.500 0.500 0.500 1
Br1 Br 0.937 0.937 0.937 1
Br2 Br 0.063 0.063 0.063 1
# - SG = R-3m (166)
# - relative energy among the computed polymorphs (meV per atom) = 632
# - formation energy without anion corrections (eV per atom) = 0.722
# - V (Å³/atom) = 23.99
# - energy (eV/cell) = -16.3

=====

# Sc2GaPt6, relaxed, DFT PBE
data_Sc2GaPt6
_chemical_formula_sum 'Sc2 Ga1 Pt6'
_cell_length_a 3.783
_cell_length_b 7.348
_cell_length_c 7.330
_cell_angle_alpha 120.08
_cell_angle_beta 104.93
_cell_angle_gamma 90.00
_space_group_name_H-M_alt 'P 1'
_space_group_IT_number 1
loop_
_space_group_symop_operation_xyz
'x,y,z'
loop_
_atom_site_label
_atom_site_type_symbol
_atom_site_fract_x
_atom_site_fract_y
_atom_site_fract_z
_atom_site_occupancy
Sc1 Sc 0.348 0.347 0.694 1
Sc2 Sc 0.652 0.653 0.306 1
Pt1 Pt 0.834 0.605 0.666 1
Pt2 Pt 0.166 0.395 0.334 1
Pt3 Pt 0.500 0.227 0.000 1
Pt4 Pt 0.166 0.939 0.334 1
Pt5 Pt 0.500 0.773 0.000 1
Pt6 Pt 0.834 0.061 0.666 1
Ga1 Ga 0.000 0.000 0.000 1
# - SG = Immm (71)
# - V (Å³/atom) = 18.71
# - energy of formation (eV per formula unit) = -6.815
# - energy (eV/cell) = -58.7

=====

# Tm7In2Ag2, relaxed, DFT PBE
data_Tm7In2Ag2
_chemical_formula_sum 'Tm7 In2 Ag2'
_cell_length_a 6.837
_cell_length_b 7.205
_cell_length_c 6.837
_cell_angle_alpha 90.00
_cell_angle_beta 107.93
_cell_angle_gamma 90.00
_space_group_name_H-M_alt 'P 1'
_space_group_IT_number 1
loop_
_space_group_symop_operation_xyz
'x,y,z'
loop_
_atom_site_label
_atom_site_type_symbol
_atom_site_fract_x
_atom_site_fract_y
_atom_site_fract_z
_atom_site_occupancy
Tm1 Tm 0.500 0.732 0.000 1
Tm2 Tm 0.000 0.000 0.000 1
Tm3 Tm 0.000 0.732 0.500 1
Tm4 Tm 0.000 0.268 0.500 1
Tm5 Tm 0.500 0.253 0.500 1
Tm6 Tm 0.500 0.747 0.500 1
Tm7 Tm 0.500 0.268 0.000 1
Ag1 Ag 0.291 0.000 0.709 1
Ag2 Ag 0.709 0.000 0.291 1
In1 In 0.177 0.500 0.177 1
In2 In 0.823 0.500 0.823 1
# - SG = Cmmm (65)
# - V (Å³/atom) = 29.13
# - energy of formation (eV per formula unit) = -0.221
# - energy (eV/cell) = -42.7

=====

# SmEr2Ir9, relaxed, DFT PBE
data_SmEr2Ir9
_chemical_formula_sum 'Sm1 Er2 Ir9'
_cell_length_a 5.317
_cell_length_b 5.317
_cell_length_c 9.271
_cell_angle_alpha 73.34
_cell_angle_beta 73.34
_cell_angle_gamma 60.00
_space_group_name_H-M_alt 'P 1'
_space_group_IT_number 1
loop_
_space_group_symop_operation_xyz
'x,y,z'
loop_
_atom_site_label
_atom_site_type_symbol
_atom_site_fract_x
_atom_site_fract_y
_atom_site_fract_z
_atom_site_occupancy
Ir1 Ir 0.583 0.083 0.752 1
Ir2 Ir 0.667 0.667 0.999 1
Ir3 Ir 0.500 0.500 0.500 1
Ir4 Ir 0.417 0.917 0.248 1
Ir5 Ir 0.917 0.417 0.248 1
Ir6 Ir 0.083 0.583 0.752 1
Ir7 Ir 0.583 0.583 0.752 1
Ir8 Ir 0.417 0.417 0.248 1
Ir9 Ir 0.333 0.333 0.001 1
Sm1 Sm 0.000 0.000 0.000 1
Er1 Er 0.860 0.860 0.419 1
Er2 Er 0.140 0.140 0.581 1
# - SG = R-3m (166)
# - V (Å³/atom) = 17.85
# - energy of formation (eV per formula unit) = -7.079
# - energy (eV/cell) = -100.7

=====

# Tb2Nd8Ho, relaxed, DFT PBE
data_Tb2Nd8Ho
_chemical_formula_sum 'Tb2 Nd8 Ho1'
_cell_length_a 6.751
_cell_length_b 10.373
_cell_length_c 10.373
_cell_angle_alpha 38.47
_cell_angle_beta 59.83
_cell_angle_gamma 59.83
_space_group_name_H-M_alt 'P 1'
_space_group_IT_number 1
loop_
_space_group_symop_operation_xyz
'x,y,z'
loop_
_atom_site_label
_atom_site_type_symbol
_atom_site_fract_x
_atom_site_fract_y
_atom_site_fract_z
_atom_site_occupancy
Nd1 Nd 0.769 0.651 0.175 1
Nd2 Nd 0.273 0.406 0.406 1
Nd3 Nd 0.231 0.349 0.825 1
Nd4 Nd 0.231 0.825 0.349 1
Nd5 Nd 0.169 0.756 0.756 1
Nd6 Nd 0.727 0.594 0.594 1
Nd7 Nd 0.831 0.244 0.244 1
Nd8 Nd 0.769 0.175 0.651 1
Tb1 Tb 0.585 0.804 0.804 1
Tb2 Tb 0.415 0.196 0.196 1
Ho1 Ho 0.000 0.000 0.000 1
# - SG = C2/m (12)
# - V (Å³/atom) = 34.78
# - energy of formation (eV per formula unit) = 1.804
# - energy (eV/cell) = -50.2

=====

# PmPr6Th2, relaxed, DFT PBE
data_PmPr6Th2
_chemical_formula_sum 'Pm1 Pr6 Th2'
_cell_length_a 3.647
_cell_length_b 3.647
_cell_length_c 27.588
_cell_angle_alpha 90.00
_cell_angle_beta 90.00
_cell_angle_gamma 120.00
_space_group_name_H-M_alt 'P 1'
_space_group_IT_number 1
loop_
_space_group_symop_operation_xyz
'x,y,z'
loop_
_atom_site_label
_atom_site_type_symbol
_atom_site_fract_x
_atom_site_fract_y
_atom_site_fract_z
_atom_site_occupancy
Th1 Th 0.667 0.333 0.330 1
Th2 Th 0.667 0.333 0.670 1
Pr1 Pr 0.667 0.333 0.891 1
Pr2 Pr 0.667 0.333 0.109 1
Pr3 Pr 0.333 0.667 0.437 1
Pr4 Pr 0.333 0.667 0.563 1
Pr5 Pr 0.333 0.667 0.223 1
Pr6 Pr 0.333 0.667 0.777 1
Pm1 Pm 0.333 0.667 0.000 1
# - SG = P-6m2 (187)
# - V (Å³/atom) = 35.31
# - energy of formation (eV per formula unit) = 0.688
# - energy (eV/cell) = -47.6